[1]
! Sc2NiP (SCAN, PBEsol geometry); values from VASP
&SYSTEM
  ibrav = 0, nat = 4, ntyp = 3
/
ATOMIC_SPECIES
Sc 44.96 Sc.upf
Ni 58.69 Ni.upf
P 30.97 P.upf
CELL_PARAMETERS angstrom
3.733 0.000 0.000
0.000 1.804 4.830
0.000 -1.804 4.830
ATOMIC_POSITIONS crystal
Sc 0.000 0.000 0.000
Sc 0.500 0.285 0.285
Ni 0.500 0.568 0.568
P 0.000 0.714 0.714
! N(E_F) = 1.87 states/eV per cell
! total moment = 0.00 μB/f.u.
! raw total energy = -14.88 eV/atom
! energy of formation = -4.46 eV/f.u.

[2]
! Sc3Si3Ru (SCAN, PBEsol geometry); values from VASP
&SYSTEM
  ibrav = 0, nat = 28, ntyp = 3
/
ATOMIC_SPECIES
Sc 44.96 Sc.upf
Si 28.09 Si.upf
Ru 101.07 Ru.upf
CELL_PARAMETERS angstrom
11.613 0.000 0.000
0.000 3.938 0.000
0.000 0.000 10.221
ATOMIC_POSITIONS crystal
Sc 0.019 0.250 0.123
Sc 0.104 0.250 0.422
Sc 0.202 0.750 0.659
Sc 0.298 0.250 0.159
Sc 0.396 0.750 0.922
Sc 0.481 0.750 0.623
Sc 0.519 0.250 0.377
Sc 0.604 0.250 0.078
Sc 0.702 0.750 0.841
Sc 0.798 0.250 0.341
Sc 0.896 0.750 0.578
Sc 0.981 0.750 0.877
Si 0.045 0.250 0.694
Si 0.158 0.750 0.252
Si 0.178 0.750 0.016
Si 0.322 0.250 0.516
Si 0.342 0.250 0.752
Si 0.455 0.750 0.194
Si 0.545 0.250 0.806
Si 0.658 0.750 0.248
Si 0.678 0.750 0.484
Si 0.822 0.250 0.984
Si 0.842 0.250 0.748
Si 0.955 0.750 0.306
Ru 0.177 0.250 0.890
Ru 0.323 0.750 0.390
Ru 0.677 0.250 0.610
Ru 0.823 0.750 0.110
! N(E_F) = 12.58 states/eV per cell
! total moment = 0.00 μB/f.u.
! raw total energy = -16.30 eV/atom
! E_form (uncorrected) = -0.9287 eV/atom